Arrangement one

A plane-wave DFT calculation with PBE was carried out for a geometry-optimized DyRe2O8 structure.

Properties
As for the volume: 17.8 A^3/atom. The density of states at the Fermi level comes out at 3.9 states/eV/cell. The symmetry is C2/m, No. 12.

Geometry as POSCAR:
```
DyRe2O8
1.0
5.7868 0.2229 0.1906
0.9931 6.1675 1.1360
0.9931 2.0783 5.9168
Dy Re O
1 2 8
Direct
0.0000 0.0000 0.0000 Dy
0.3282 0.1925 0.1925 Re
0.6718 0.8075 0.8075 Re
0.8106 0.0851 0.6700 O
0.1894 0.3300 0.9149 O
0.6449 0.1395 0.1395 O
0.3551 0.8605 0.8605 O
0.8106 0.6700 0.0851 O
0.1894 0.9149 0.3300 O
0.2390 0.3535 0.3535 O
0.7610 0.6465 0.6465 O
```

=====

Arrangement two

A plane-wave DFT calculation with PBE was carried out for a geometry-optimized DyRe2O8 structure.

Properties
As for the volume: 19.8 A^3/atom. The density of states at the Fermi level comes out at 2.7 states/eV/cell. The symmetry is Fm-3m, No. 225.

Geometry as POSCAR:
```
DyRe2O8
1.0
-4.1546 2.7385 -4.5727
4.6532 -0.9647 -4.8048
-2.0884 -5.2038 3.7753
Dy Re O
1 2 8
Direct
0.5000 0.5000 0.0000 Dy
0.7500 0.2500 0.5000 Re
0.2500 0.7500 0.5000 Re
0.6432 0.3568 0.2863 O
0.0705 0.3569 0.7137 O
0.6432 0.3568 0.7137 O
0.3568 0.0705 0.7137 O
0.6431 0.9295 0.2863 O
0.9295 0.6432 0.2863 O
0.3568 0.6431 0.2863 O
0.3569 0.6432 0.7137 O
```

=====

Relative energies, in meV per atom, with the most stable structure set to zero: arrangement one 153; arrangement two 0.

=====

Arrangement one

A plane-wave DFT calculation with PBE was carried out for a geometry-optimized Dy2Rh2O7 structure.

Properties
As for the volume: 12.1 A^3/atom. The density of states at the Fermi level comes out at 12.1 states/eV/cell. The symmetry is Fd-3m, No. 227.

Geometry as POSCAR:
```
Dy2Rh2O7
1.0
-2.4476 -6.5721 -1.7431
4.4126 -5.7116 0.3590
-0.9517 -4.9834 5.1461
Dy Rh O
4 4 14
Direct
0.6250 0.6250 0.6250 Dy
0.6250 0.6250 0.1250 Dy
0.6250 0.1250 0.6250 Dy
0.1250 0.6250 0.6250 Dy
0.6250 0.1250 0.1250 Rh
0.1250 0.6250 0.1250 Rh
0.1250 0.1250 0.6250 Rh
0.1250 0.1250 0.1250 Rh
0.2120 0.2120 0.7880 O
0.2120 0.7880 0.2120 O
0.4620 0.0380 0.4620 O
0.4620 0.4620 0.0380 O
0.7500 0.7500 0.7500 O
0.7880 0.2120 0.2120 O
0.4620 0.0380 0.0380 O
0.0380 0.4620 0.4620 O
0.0380 0.0380 0.4620 O
0.0380 0.4620 0.0380 O
0.2120 0.7880 0.7880 O
0.5000 0.5000 0.5000 O
0.7880 0.2120 0.7880 O
0.7880 0.7880 0.2120 O
```

=====

Arrangement two

A plane-wave DFT calculation with PBE was carried out for a geometry-optimized Dy2Rh2O7 structure.

Properties
As for the volume: 12.4 A^3/atom. The density of states at the Fermi level comes out at 6.2 states/eV/cell. The symmetry is C2/m, No. 12.

Geometry as POSCAR:
```
Dy2Rh2O7
1.0
-4.3436 0.2171 -3.0241
0.3925 -4.8750 -0.6003
-2.2332 -0.9539 4.7076
Dy Rh O
2 2 7
Direct
0.7470 0.5000 0.7470 Dy
0.2530 0.5000 0.2530 Dy
0.7521 0.9726 0.2479 Rh
0.2479 0.0274 0.7521 Rh
0.9588 0.2459 0.4829 O
0.4829 0.7541 0.9588 O
0.0412 0.7541 0.5171 O
0.5171 0.2459 0.0412 O
0.0000 0.0000 0.0000 O
0.5447 0.7591 0.4553 O
0.4553 0.2409 0.5447 O
```

=====

Relative energies, in meV per atom, with the most stable structure set to zero: arrangement one 0; arrangement two 386.

=====

Arrangement one

A plane-wave DFT calculation with PBE was carried out for a geometry-optimized Dy2RuO structure.

Properties
As for the volume: 17.9 A^3/atom. The density of states at the Fermi level comes out at 3.0 states/eV/cell. The symmetry is R-3m, No. 166.

Geometry as POSCAR:
```
Dy2RuO
1.0
3.4251 0.0000 0.0000
1.7125 2.9662 0.0000
1.7125 0.9887 7.0358
Ru O Dy
1 1 2
Direct
0.5000 0.5000 0.5000 Ru
0.0000 0.0000 0.0000 O
0.7380 0.7380 0.7859 Dy
0.2620 0.2620 0.2141 Dy
```

=====

Arrangement two

A plane-wave DFT calculation with PBE was carried out for a geometry-optimized Dy2RuO structure.

Properties
As for the volume: 17.2 A^3/atom. The density of states at the Fermi level comes out at 0.8 states/eV/cell. The symmetry is P4/mmm, No. 123.

Geometry as POSCAR:
```
Dy2RuO
1.0
3.1990 0.0000 0.0000
0.0000 3.1990 0.0000
0.0000 0.0000 6.7092
Ru O Dy
1 1 2
Direct
0.5000 0.5000 0.0000 Ru
0.5000 0.5000 0.5000 O
0.0000 0.0000 0.7372 Dy
0.0000 0.0000 0.2628 Dy
```

=====

Relative energies, in meV per atom, with the most stable structure set to zero: arrangement one 0; arrangement two 239.

=====

Arrangement one

A plane-wave DFT calculation with PBE was carried out for a geometry-optimized Dy2S2O structure.

Properties
As for the volume: 19.5 A^3/atom. The density of states at the Fermi level comes out at 0.0 states/eV/cell. The symmetry is P2_1/c, No. 14.

Geometry as POSCAR:
```
Dy2S2O
1.0
6.9179 0.0000 0.0000
0.0000 6.8746 -0.0021
0.0000 1.3382 8.1820
Dy S O
8 8 4
Direct
0.0539 0.2500 0.8617 Dy
0.5539 0.2500 0.1383 Dy
0.9461 0.7500 0.1383 Dy
0.4461 0.7500 0.8617 Dy
0.1434 0.3213 0.4238 Dy
0.6434 0.1787 0.5762 Dy
0.8566 0.6787 0.5762 Dy
0.3566 0.8213 0.4238 Dy
0.7233 0.0301 0.9242 S
0.6345 0.5763 0.3197 S
0.3655 0.4237 0.6803 S
0.8655 0.0763 0.3197 S
0.2233 0.4699 0.0758 S
0.2767 0.9699 0.0758 S
0.7767 0.5301 0.9242 S
0.1345 0.9237 0.6803 S
0.0872 0.6496 0.3830 O
0.4128 0.1496 0.3830 O
0.9128 0.3504 0.6170 O
0.5872 0.8504 0.6170 O
```

=====

Arrangement two

A plane-wave DFT calculation with PBE was carried out for a geometry-optimized Dy2S2O structure.

Properties
As for the volume: 19.7 A^3/atom. The density of states at the Fermi level comes out at 0.0 states/eV/cell. The symmetry is Cmc2_1, No. 36.

Geometry as POSCAR:
```
Dy2S2O
1.0
-3.0377 0.9372 2.1021
-3.0594 -6.1036 -1.6998
4.5971 -3.6448 4.8133
Dy S O
4 4 2
Direct
0.4493 0.4129 0.8987 Dy
0.8344 0.0198 0.6688 Dy
0.1656 0.5198 0.3312 Dy
0.5507 0.9129 0.1013 Dy
0.9502 0.7216 0.9005 S
0.7975 0.3957 0.5951 S
0.2025 0.8957 0.4049 S
0.0498 0.2216 0.0995 S
0.4065 0.0843 0.8129 O
0.5935 0.5843 0.1871 O
```

=====

Relative energies, in meV per atom, with the most stable structure set to zero: arrangement one 0; arrangement two 35.

=====

Arrangement one

A plane-wave DFT calculation with PBE was carried out for a geometry-optimized Dy2SO structure.

Properties
As for the volume: 17.9 A^3/atom. The density of states at the Fermi level comes out at 1.4 states/eV/cell. The symmetry is R3m, No. 160.

Geometry as POSCAR:
```
Dy2SO
1.0
3.5567 0.0000 0.0000
1.7784 3.0802 0.0000
1.7784 1.0267 6.5174
Dy S O
2 1 1
Direct
0.0875 0.0875 0.7375 Dy
0.2483 0.2483 0.2550 Dy
0.6685 0.6685 0.9946 S
0.4957 0.4957 0.5129 O
```

=====

Arrangement two

A plane-wave DFT calculation with PBE was carried out for a geometry-optimized Dy2SO structure.

Properties
As for the volume: 20.7 A^3/atom. The density of states at the Fermi level comes out at 1.5 states/eV/cell. The symmetry is P4/nmm, No. 129.

Geometry as POSCAR:
```
Dy2SO
1.0
3.9015 0.0000 -0.0012
0.0001 3.9014 0.0015
0.0031 -0.0073 10.8762
Dy S O
4 2 2
Direct
0.7009 0.6080 0.2204 Dy
0.7010 0.6088 0.7084 Dy
0.2010 0.1087 0.5076 Dy
0.2009 0.1078 0.9956 Dy
0.2009 0.1080 0.2446 S
0.7009 0.6077 0.9713 S
0.2010 0.6089 0.6080 O
0.7010 0.1088 0.6080 O
```

=====

Relative energies, in meV per atom, with the most stable structure set to zero: arrangement one 295; arrangement two 0.

=====

Arrangement one

A plane-wave DFT calculation with PBE was carried out for a geometry-optimized Dy2SbO2 structure.

Properties
As for the volume: 18.8 A^3/atom. The density of states at the Fermi level comes out at 0.3 states/eV/cell. The symmetry is P-1, No. 2.

Geometry as POSCAR:
```
Dy2SbO2
1.0
-2.4589 5.8264 3.8486
-4.2469 4.3441 -2.1239
-4.2627 0.0015 4.5180
Dy Sb O
4 2 4
Direct
0.6034 0.7094 0.8881 Dy
0.8004 0.2113 0.3872 Dy
0.3966 0.2906 0.1119 Dy
0.1996 0.7887 0.6128 Dy
0.7886 0.7630 0.2580 Sb
0.2114 0.2370 0.7420 Sb
0.5164 0.4760 0.2291 O
0.7768 0.9777 0.7310 O
0.2232 0.0223 0.2690 O
0.4836 0.5240 0.7709 O
```

=====

Arrangement two

A plane-wave DFT calculation with PBE was carried out for a geometry-optimized Dy2SbO2 structure.

Properties
As for the volume: 19.8 A^3/atom. The density of states at the Fermi level comes out at 0.5 states/eV/cell. The symmetry is I4/mmm, No. 139.

Geometry as POSCAR:
```
Dy2SbO2
1.0
7.2134 -0.0003 0.0000
5.1537 5.0470 0.0000
-6.1836 -2.5234 2.7257
Dy Sb O
2 1 2
Direct
0.3341 0.3341 0.0000 Dy
0.6659 0.6659 0.0000 Dy
0.0000 0.0000 0.0000 Sb
0.7500 0.2500 0.5000 O
0.2500 0.7500 0.5000 O
```

=====

Relative energies, in meV per atom, with the most stable structure set to zero: arrangement one 111; arrangement two 0.

=====

Arrangement one

A plane-wave DFT calculation with PBE was carried out for a geometry-optimized DySbO structure.

Properties
As for the volume: 24.8 A^3/atom. The density of states at the Fermi level comes out at 0.6 states/eV/cell. The symmetry is P3m1, No. 156.

Geometry as POSCAR:
```
DySbO
1.0
3.5713 0.0000 0.0000
-1.7857 3.0929 0.0000
0.0000 0.0000 6.7466
Sb O Dy
1 1 1
Direct
0.0000 0.0000 0.0354 Sb
0.3333 0.6667 0.5258 O
0.6667 0.3333 0.4389 Dy
```

=====

Arrangement two

A plane-wave DFT calculation with PBE was carried out for a geometry-optimized DySbO structure.

Properties
As for the volume: 21.3 A^3/atom. The density of states at the Fermi level comes out at 2.0 states/eV/cell. The symmetry is P-3m1, No. 164.

Geometry as POSCAR:
```
DySbO
1.0
3.7945 0.0000 0.0000
-1.8972 3.2861 0.0000
0.0000 0.0000 10.2615
Dy Sb O
2 2 2
Direct
0.6667 0.3333 0.1418 Dy
0.3333 0.6667 0.8582 Dy
0.6667 0.3333 0.5995 Sb
0.3333 0.6667 0.4005 Sb
0.6667 0.3333 0.9161 O
0.3333 0.6667 0.0839 O
```

=====

Relative energies, in meV per atom, with the most stable structure set to zero: arrangement one 8; arrangement two 0.

=====

Arrangement one

A plane-wave DFT calculation with PBE was carried out for a geometry-optimized Dy2SbO structure.

Properties
As for the volume: 21.8 A^3/atom. The density of states at the Fermi level comes out at 2.9 states/eV/cell. The symmetry is P4/nmm, No. 129.

Geometry as POSCAR:
```
Dy2SbO
1.0
4.4673 0.0000 -0.0030
0.0000 4.4673 -0.0030
0.0042 0.0042 8.7451
Dy Sb O
4 2 2
Direct
0.7502 0.7502 0.8421 Dy
0.7500 0.2500 0.5000 Dy
0.2498 0.2498 0.1579 Dy
0.2500 0.7500 0.5000 Dy
0.2502 0.2502 0.7992 Sb
0.7498 0.7498 0.2008 Sb
0.2500 0.2500 0.4255 O
0.7500 0.7500 0.5745 O
```

=====

Arrangement two

A plane-wave DFT calculation with PBE was carried out for a geometry-optimized Dy2SbO structure.

Properties
As for the volume: 20.8 A^3/atom. The density of states at the Fermi level comes out at 2.5 states/eV/cell. The symmetry is R-3m, No. 166.

Geometry as POSCAR:
```
Dy2SbO
1.0
-1.7496 -2.8034 1.6779
1.9250 -2.4500 2.0068
-0.8302 2.2038 6.9093
Sb O Dy
1 1 2
Direct
0.5000 0.5000 0.5000 Sb
0.0000 0.0000 0.0000 O
0.7274 0.7274 0.8177 Dy
0.2726 0.2726 0.1823 Dy
```

=====

Relative energies, in meV per atom, with the most stable structure set to zero: arrangement one 0; arrangement two 347.

=====

Arrangement one

A plane-wave DFT calculation with PBE was carried out for a geometry-optimized Dy2Sb2O7 structure.

Properties
As for the volume: 13.8 A^3/atom. The symmetry is Imma, No. 74.

Geometry as POSCAR:
```
Dy2Sb2O7
1.0
4.8681 -4.7410 3.2877
-5.7630 -4.3783 2.1456
1.0619 1.7954 -7.2549
Dy Sb O
4 4 14
Direct
0.5000 0.5000 0.0000 Dy
0.0000 0.0000 0.0000 Dy
0.0000 0.5000 0.0000 Dy
0.5000 0.5000 0.5000 Dy
0.5000 0.0000 0.0000 Sb
0.5000 0.0000 0.5000 Sb
0.0000 0.0000 0.5000 Sb
0.0000 0.5000 0.5000 Sb
0.6269 0.3275 0.2009 O
0.7500 0.9790 0.2290 O
0.1188 0.3673 0.2485 O
0.6188 0.3704 0.7515 O
0.8731 0.0741 0.7007 O
0.6266 0.9259 0.7991 O
0.1266 0.3275 0.7007 O
0.3734 0.0741 0.2009 O
0.1269 0.9259 0.2993 O
0.8734 0.6725 0.2993 O
0.8812 0.6327 0.7515 O
0.2500 0.0210 0.7710 O
0.3812 0.6296 0.2485 O
0.3731 0.6725 0.7991 O
```

=====

Arrangement two

A plane-wave DFT calculation with PBE was carried out for a geometry-optimized Dy2Sb2O7 structure.

Properties
As for the volume: 13.8 A^3/atom. The density of states at the Fermi level comes out at 7.7 states/eV/cell. The symmetry is Fd-3m, No. 227.

Geometry as POSCAR:
```
Dy2Sb2O7
1.0
0.0000 5.3287 5.3287
5.3287 0.0000 5.3287
5.3287 5.3287 0.0000
Dy Sb O
4 4 14
Direct
0.6250 0.6250 0.1250 Dy
0.1250 0.6250 0.6250 Dy
0.6250 0.1250 0.6250 Dy
0.6250 0.6250 0.6250 Dy
0.1250 0.1250 0.1250 Sb
0.1250 0.6250 0.1250 Sb
0.1250 0.1250 0.6250 Sb
0.6250 0.1250 0.1250 Sb
0.2187 0.7813 0.2187 O
0.4687 0.0313 0.4687 O
0.2187 0.2187 0.7813 O
0.2187 0.7813 0.7813 O
0.7813 0.2187 0.2187 O
0.5000 0.5000 0.5000 O
0.7813 0.7813 0.2187 O
0.4687 0.4687 0.0313 O
0.0313 0.4687 0.4687 O
0.4687 0.0313 0.0313 O
0.7500 0.7500 0.7500 O
0.0313 0.0313 0.4687 O
0.7813 0.2187 0.7813 O
0.0313 0.4687 0.0313 O
```

=====

Arrangement three

A plane-wave DFT calculation with PBE was carried out for a geometry-optimized Dy2Sb2O7 structure.

Properties
As for the volume: 13.8 A^3/atom. The density of states at the Fermi level comes out at 0.0 states/eV/cell. The symmetry is P3_121, No. 152.

Geometry as POSCAR:
```
Dy2Sb2O7
1.0
-6.3350 -2.8392 2.9426
6.5242 -3.6883 0.8267
3.2065 9.2115 15.7910
Dy Sb O
12 12 42
Direct
0.0000 0.8229 0.3333 Dy
0.0000 0.8334 0.8333 Dy
0.8173 0.4996 0.9890 Dy
0.8229 0.0000 0.0000 Dy
0.5004 0.3178 0.3223 Dy
0.8334 0.0000 0.5000 Dy
0.6822 0.1827 0.6556 Dy
0.4996 0.8173 0.3444 Dy
0.3178 0.5004 0.0110 Dy
0.1827 0.6822 0.6777 Dy
0.1666 0.1666 0.1667 Dy
0.1771 0.1771 0.6667 Dy
0.0000 0.3241 0.8333 Sb
0.0000 0.2976 0.3333 Sb
0.8350 0.5017 0.4995 Sb
0.4983 0.3333 0.8328 Sb
0.6667 0.1650 0.1661 Sb
0.7024 0.7024 0.6667 Sb
0.3241 0.0000 0.5000 Sb
0.6759 0.6759 0.1667 Sb
0.2976 0.0000 0.0000 Sb
0.5017 0.8350 0.8339 Sb
0.3333 0.4983 0.5005 Sb
0.1650 0.6667 0.1672 Sb
0.9840 0.8369 0.7155 O
0.0044 0.8062 0.1940 O
0.8928 0.5514 0.6065 O
0.9483 0.3834 0.1923 O
0.6727 0.6657 0.0441 O
0.7721 0.4660 0.3941 O
0.9930 0.3273 0.7107 O
0.7966 0.4805 0.8612 O
0.6166 0.5649 0.5257 O
0.5340 0.3061 0.7274 O
0.5195 0.3162 0.1945 O
0.6587 0.1072 0.2732 O
0.8529 0.0160 0.3822 O
0.6838 0.2034 0.5278 O
0.8018 0.9956 0.8607 O
0.8369 0.9840 0.6178 O
0.6939 0.2279 0.0607 O
0.8062 0.0044 0.1393 O
0.4486 0.3413 0.9398 O
0.4351 0.0517 0.8590 O
0.1938 0.1982 0.5273 O
0.3343 0.0070 0.3774 O
0.5514 0.8928 0.7268 O
0.3834 0.9483 0.1410 O
0.6657 0.6727 0.2893 O
0.1631 0.1471 0.0488 O
0.4660 0.7721 0.9393 O
0.3273 0.9930 0.6226 O
0.4805 0.7966 0.4722 O
0.5649 0.6166 0.8077 O
0.3061 0.5340 0.6059 O
0.3162 0.5195 0.1388 O
0.1072 0.6587 0.0602 O
0.0160 0.8529 0.9512 O
0.2034 0.6838 0.8055 O
0.9956 0.8018 0.4727 O
0.2279 0.6939 0.2726 O
0.3413 0.4486 0.3935 O
0.0517 0.4351 0.4743 O
0.1982 0.1938 0.8060 O
0.0070 0.3343 0.9559 O
0.1471 0.1631 0.2845 O
```

=====

Relative energies, in meV per atom, with the most stable structure set to zero: arrangement one 46; arrangement two 97; arrangement three 0.